The following is a DFT calculation (GGA-PBE) of a geometry-optimized Cu15Hg structure.

Properties
Electronic total energy   -220.46 eV for the cell shown
E_form   0.94 eV per formula unit
Space group   Pccm (49)

Unit cell a=7.2439 b=41.7032 c=3.6252 alpha=90.00 beta=90.00 gamma=90.00
Atoms (fractional coordinates):
Cu 0.1112 0.1802 0.0000
Cu 0.1112 0.8198 0.5000
Cu 0.1252 0.3508 0.0000
Cu 0.1249 0.3933 0.5000
Cu 0.1251 0.4359 0.0000
Cu 0.1250 0.4786 0.5000
Cu 0.1250 0.5214 0.0000
Cu 0.1251 0.5641 0.5000
Cu 0.1249 0.6067 0.0000
Cu 0.1252 0.6492 0.5000
Cu 0.1257 0.3076 0.5000
Cu 0.1257 0.6924 0.0000
Cu 0.1267 0.2647 0.0000
Cu 0.1267 0.7353 0.5000
Cu 0.1293 0.2224 0.5000
Cu 0.1293 0.7776 0.0000
Cu 0.3751 0.3080 0.0000
Cu 0.3749 0.3510 0.5000
Cu 0.3750 0.3934 0.0000
Cu 0.3750 0.4359 0.5000
Cu 0.3750 0.4786 0.0000
Cu 0.3750 0.5214 0.5000
Cu 0.3750 0.5641 0.0000
Cu 0.3750 0.6066 0.5000
Cu 0.3749 0.6490 0.0000
Cu 0.3751 0.6920 0.5000
Cu 0.3762 0.2645 0.5000
Cu 0.3762 0.7355 0.0000
Cu 0.3774 0.2214 0.0000
Cu 0.3774 0.7786 0.5000
Cu 0.6226 0.2214 0.5000
Cu 0.6226 0.7786 0.0000
Cu 0.6238 0.2645 0.0000
Cu 0.6238 0.7355 0.5000
Cu 0.6249 0.3080 0.5000
Cu 0.6251 0.3510 0.0000
Cu 0.6250 0.3934 0.5000
Cu 0.6250 0.4359 0.0000
Cu 0.6250 0.4786 0.5000
Cu 0.6250 0.5214 0.0000
Cu 0.6250 0.5641 0.5000
Cu 0.6250 0.6066 0.0000
Cu 0.6251 0.6490 0.5000
Cu 0.6249 0.6920 0.0000
Cu 0.8707 0.2224 0.0000
Cu 0.8707 0.7776 0.5000
Cu 0.8733 0.2647 0.5000
Cu 0.8733 0.7353 0.0000
Cu 0.8743 0.3076 0.0000
Cu 0.8743 0.6924 0.5000
Cu 0.8748 0.3508 0.5000
Cu 0.8751 0.3933 0.0000
Cu 0.8749 0.4359 0.5000
Cu 0.8750 0.4786 0.0000
Cu 0.8750 0.5214 0.5000
Cu 0.8749 0.5641 0.0000
Cu 0.8751 0.6067 0.5000
Cu 0.8748 0.6492 0.0000
Cu 0.8888 0.1802 0.5000
Cu 0.8888 0.8198 0.0000
Hg 0.3393 0.1615 0.5000
Hg 0.3393 0.8385 0.0000
Hg 0.6607 0.1615 0.0000
Hg 0.6607 0.8385 0.5000

=====

The following is a DFT calculation (GGA-PBE) of a geometry-optimized Cu2Hg structure.

Properties
Electronic total energy   -14.66 eV for the cell shown
E_form   0.40 eV per formula unit
Space group   R-3m (166)

Unit cell a=5.0237 b=5.0237 c=5.0237 alpha=60.43 beta=60.43 gamma=60.43
Atoms (fractional coordinates):
Cu 0.0000 0.0000 0.0000
Cu 0.0000 0.0000 0.5000
Cu 0.0000 0.5000 0.0000
Cu 0.5000 0.0000 0.0000
Hg 0.3744 0.3744 0.3744
Hg 0.6256 0.6256 0.6256

=====

The following is a DFT calculation (GGA-PBE) of a geometry-optimized Cu15Hg structure.

Properties
Electronic total energy   -109.80 eV for the cell shown
E_form   1.15 eV per formula unit
Space group   P2_1/m (11)

Unit cell a=5.1123 b=2.5867 c=41.6579 alpha=90.00 beta=90.00 gamma=90.00
Atoms (fractional coordinates):
Cu 0.1234 0.2500 0.1919
Cu 0.1239 0.2500 0.2775
Cu 0.1251 0.2500 0.0214
Cu 0.1254 0.2500 0.1070
Cu 0.1251 0.2500 0.7649
Cu 0.1250 0.2500 0.8508
Cu 0.1249 0.2500 0.9358
Cu 0.3734 0.7500 0.8081
Cu 0.3739 0.7500 0.7224
Cu 0.3749 0.7500 0.0643
Cu 0.3750 0.7500 0.1496
Cu 0.3750 0.7500 0.2342
Cu 0.3749 0.7500 0.3194
Cu 0.3754 0.7500 0.8930
Cu 0.3751 0.7500 0.9786
Cu 0.6249 0.2500 0.0214
Cu 0.6246 0.2500 0.1070
Cu 0.6251 0.2500 0.6806
Cu 0.6250 0.2500 0.7658
Cu 0.6250 0.2500 0.8504
Cu 0.6251 0.2500 0.9357
Cu 0.6261 0.2500 0.2776
Cu 0.6266 0.2500 0.1919
Cu 0.8751 0.7500 0.0642
Cu 0.8750 0.7500 0.1492
Cu 0.8749 0.7500 0.2351
Cu 0.8746 0.7500 0.8930
Cu 0.8749 0.7500 0.9786
Cu 0.8761 0.7500 0.7225
Cu 0.8766 0.7500 0.8081
Hg 0.1249 0.2500 0.6619
Hg 0.8751 0.7500 0.3381

=====

The following is a DFT calculation (GGA-PBE) of a geometry-optimized Cu7Hg structure.

Properties
Electronic total energy   -51.16 eV for the cell shown
E_form   0.74 eV per formula unit
Space group   Pmmn (59)

Unit cell a=2.5952 b=3.4779 c=32.5209 alpha=90.00 beta=90.00 gamma=90.00
Atoms (fractional coordinates):
Cu 0.2500 0.2500 0.0196
Cu 0.2500 0.2500 0.0986
Cu 0.2500 0.2500 0.1785
Cu 0.2500 0.2500 0.2577
Cu 0.2500 0.2500 0.7821
Cu 0.2500 0.2500 0.8617
Cu 0.2500 0.2500 0.9410
Cu 0.7500 0.7500 0.0590
Cu 0.7500 0.7500 0.1383
Cu 0.7500 0.7500 0.2179
Cu 0.7500 0.7500 0.7423
Cu 0.7500 0.7500 0.8215
Cu 0.7500 0.7500 0.9014
Cu 0.7500 0.7500 0.9804
Hg 0.2500 0.2500 0.6837
Hg 0.7500 0.7500 0.3163

=====

The following is a DFT calculation (GGA-PBE) of a geometry-optimized CuHg2 structure.

Properties
Electronic total energy   -3.64 eV for the cell shown
E_form   0.67 eV per formula unit
Space group   C2/m (12)

Unit cell a=3.7678 b=3.7678 c=5.6687 alpha=109.24 beta=109.24 gamma=62.27
Atoms (fractional coordinates):
Cu 0.0000 0.0000 0.0000
Hg 0.2415 0.2415 0.7048
Hg 0.7585 0.7585 0.2952

=====

The following is a DFT calculation (GGA-PBE) of a geometry-optimized Cu15Hg structure.

Properties
Electronic total energy   -109.00 eV for the cell shown
E_form   1.55 eV per formula unit
Space group   P2_1/m (11)

Unit cell a=7.0610 b=2.5934 c=33.4833 alpha=90.00 beta=90.03 gamma=90.00
Atoms (fractional coordinates):
Cu 0.1216 0.2500 0.2500
Cu 0.1244 0.2500 0.3274
Cu 0.1253 0.2500 0.4043
Cu 0.1251 0.2500 0.4809
Cu 0.1250 0.2500 0.5574
Cu 0.1252 0.2500 0.6338
Cu 0.1253 0.2500 0.7108
Cu 0.3717 0.7500 0.7504
Cu 0.3744 0.7500 0.2145
Cu 0.3751 0.7500 0.2893
Cu 0.3750 0.7500 0.3659
Cu 0.3750 0.7500 0.4427
Cu 0.3751 0.7500 0.5192
Cu 0.3754 0.7500 0.5958
Cu 0.3746 0.7500 0.6727
Cu 0.6254 0.2500 0.3273
Cu 0.6246 0.2500 0.4042
Cu 0.6249 0.2500 0.4808
Cu 0.6250 0.2500 0.5573
Cu 0.6250 0.2500 0.6341
Cu 0.6249 0.2500 0.7107
Cu 0.6256 0.2500 0.7855
Cu 0.6283 0.2500 0.2496
Cu 0.8747 0.7500 0.2892
Cu 0.8748 0.7500 0.3662
Cu 0.8750 0.7500 0.4426
Cu 0.8749 0.7500 0.5191
Cu 0.8747 0.7500 0.5957
Cu 0.8756 0.7500 0.6726
Cu 0.8784 0.7500 0.7500
Hg 0.1226 0.2500 0.8078
Hg 0.8774 0.7500 0.1922

=====

The following is a DFT calculation (GGA-PBE) of a geometry-optimized Cu8Hg structure.

Properties
Electronic total energy   -58.17 eV for the cell shown
E_form   0.95 eV per formula unit
Space group   C2/m (12)

Unit cell a=4.3914 b=4.3914 c=26.7716 alpha=90.04 beta=90.04 gamma=47.48
Atoms (fractional coordinates):
Cu 0.0491 0.0491 0.1989
Cu 0.0504 0.0504 0.8928
Cu 0.1490 0.1490 0.9845
Cu 0.2503 0.2503 0.0755
Cu 0.2515 0.2515 0.7715
Cu 0.3475 0.3475 0.1675
Cu 0.3506 0.3506 0.8626
Cu 0.4503 0.4503 0.9541
Cu 0.5497 0.5497 0.0459
Cu 0.6494 0.6494 0.1374
Cu 0.6525 0.6525 0.8325
Cu 0.7485 0.7485 0.2285
Cu 0.7497 0.7497 0.9245
Cu 0.8510 0.8510 0.0155
Cu 0.9496 0.9496 0.1072
Cu 0.9509 0.9509 0.8011
Hg 0.4525 0.4525 0.2768
Hg 0.5475 0.5475 0.7232

=====

The following is a DFT calculation (GGA-PBE) of a geometry-optimized HoCuHg structure.

Properties
Electronic total energy   -9.20 eV for the cell shown
E_form   -0.61 eV per formula unit
Space group   F-43m (216)

Unit cell a=4.5825 b=4.5825 c=4.5825 alpha=60.00 beta=60.00 gamma=60.00
Atoms (fractional coordinates):
Ho 0.0000 0.0000 0.0000
Cu 0.7500 0.7500 0.7500
Hg 0.5000 0.5000 0.5000